Computed, not measured: an optimized crystal structure of CeInNiHg at the PBE level of DFT.

a b c (Å): 4.9584 4.9584 4.9584
angles (deg): 60.00 60.00 60.00
Closest atoms and distances in Å follow each position.
Fractional positions:
Ce  0.0000  0.0000  0.0000  4 Ni 3.04, 4 Hg 3.04
In  0.5000  0.5000  0.5000  4 Hg 3.04, 4 Ni 3.04
Ni  0.7500  0.7500  0.7500  4 In 3.04, 4 Ce 3.04
Hg  0.2500  0.2500  0.2500  4 In 3.04, 4 Ce 3.04

Calculated values
Its total magnetization is 0.4 μB/f.u. As for the space-group type: No. 216. The volume is 21.550 A^3/atom. The value obtained for the final energy is -3.9184 eV per atom.


Computed, not measured: an optimized crystal structure of CeInHgO at the PBE level of DFT.

a b c (Å): 4.1645 4.1645 10.5045
angles (deg): 90.00 90.00 90.00
Closest atoms and distances in Å follow each position.
Fractional positions:
Ce  0.2500  0.2500  0.1058  4 O 2.36
Ce  0.7500  0.7500  0.8942  4 O 2.36
In  0.2500  0.7500  0.5000  4 In 2.94, 4 Hg 3.15
In  0.7500  0.2500  0.5000  4 In 2.94, 4 Hg 3.15
Hg  0.2500  0.2500  0.7254  4 In 3.15, 4 Ce 3.44
Hg  0.7500  0.7500  0.2746  4 In 3.15, 4 Ce 3.44
O  0.2500  0.7500  0.0000  4 Ce 2.36
O  0.7500  0.2500  0.0000  4 Ce 2.36

Calculated values
Its total magnetization is 0.6 μB/f.u. The value obtained for the uncorrected formation energy is -6.01 eV/f.u. As for the space-group type: No. 129. The volume is 22.772 A^3/atom.


Computed, not measured: an optimized crystal structure of Ce5InHgOs2 at the PBE level of DFT.

a b c (Å): 9.3727 9.3727 9.3727
angles (deg): 130.25 130.25 73.01
Closest atoms and distances in Å follow each position.
Fractional positions:
Ce  0.0000  0.0000  0.0000  4 Os 3.16, 8 Ce 3.35
Ce  0.0967  0.5967  0.9363  1 Os 2.60
Ce  0.1604  0.0967  0.5000  1 Os 2.60
Ce  0.3396  0.8396  0.9363  1 Os 2.60
Ce  0.4033  0.3396  0.5000  1 Os 2.60
Ce  0.5000  0.5000  0.0000  4 Os 3.16, 8 Ce 3.35
Ce  0.5967  0.6604  0.5000  1 Os 2.60
Ce  0.6604  0.1604  0.0637  1 Os 2.60
Ce  0.8396  0.9033  0.5000  1 Os 2.60
Ce  0.9033  0.4033  0.0637  1 Os 2.60
In  0.2500  0.7500  0.5000  4 Ce 3.11
In  0.7500  0.2500  0.5000  4 Ce 3.11
Hg  0.2500  0.2500  0.0000  10 Ce 3.41-3.77
Hg  0.7500  0.7500  0.0000  10 Ce 3.41-3.77
Os  0.1160  0.3840  0.5000  1 Os 2.59, 2 Ce 2.60
Os  0.3840  0.8840  0.2680  1 Os 2.59, 2 Ce 2.60
Os  0.6160  0.1160  0.7320  1 Os 2.59, 2 Ce 2.60
Os  0.8840  0.6160  0.5000  1 Os 2.59, 2 Ce 2.60

Calculated values
Its total magnetization is 2.7 μB/f.u. As for the space-group type: No. 140. The volume is 26.027 A^3/atom. The value obtained for the final energy is -6.2909 eV per atom.


Computed, not measured: an optimized crystal structure of CePaInHg at the PBE level of DFT.

a b c (Å): 5.3773 5.3773 5.3773
angles (deg): 60.00 60.00 60.00
Closest atoms and distances in Å follow each position.
Fractional positions:
Ce  0.0000  0.0000  0.0000  4 In 3.29, 4 Hg 3.29
Pa  0.5000  0.5000  0.5000  4 In 3.29, 4 Hg 3.29
In  0.7500  0.7500  0.7500  4 Ce 3.29, 4 Pa 3.29
Hg  0.2500  0.2500  0.2500  4 Ce 3.29, 4 Pa 3.29

Calculated values
Its total magnetization is 3.1 μB/f.u. As for the space-group type: No. 216. The volume is 27.486 A^3/atom. The value obtained for the final energy is -4.5894 eV per atom.


Computed, not measured: an optimized crystal structure of CeInHgPb at the PBE level of DFT.

a b c (Å): 4.6629 4.6951 4.9194
angles (deg): 90.00 90.00 90.00
Closest atoms and distances in Å follow each position.
Fractional positions:
Ce  0.0000  0.0000  0.0000  4 Pb 3.31, 4 In 3.39, 4 Hg 3.40
In  0.5000  0.0000  0.5000  4 Hg 3.31, 4 Ce 3.39, 4 Pb 3.40
Hg  0.0000  0.5000  0.5000  4 In 3.31, 4 Pb 3.39, 4 Ce 3.40
Pb  0.5000  0.5000  0.0000  4 Ce 3.31, 4 Hg 3.39, 4 In 3.40

Calculated values
Its total magnetization is 0.9 μB/f.u. As for the space-group type: No. 47. The volume is 26.925 A^3/atom. The value obtained for the final energy is -3.5333 eV per atom.


Computed, not measured: an optimized crystal structure of CeInHgPb at the PBE level of DFT.

a b c (Å): 5.4158 5.4158 5.4158
angles (deg): 60.00 60.00 60.00
Closest atoms and distances in Å follow each position.
Fractional positions:
Ce  0.0000  0.0000  0.0000  4 Hg 3.32, 4 In 3.32
In  0.7500  0.7500  0.7500  4 Pb 3.32, 4 Ce 3.32
Hg  0.2500  0.2500  0.2500  4 Ce 3.32, 4 Pb 3.32
Pb  0.5000  0.5000  0.5000  4 Hg 3.32, 4 In 3.32

Calculated values
Its total magnetization is 1.0 μB/f.u. As for the space-group type: No. 216. The volume is 28.081 A^3/atom. The value obtained for the final energy is -3.3775 eV per atom.


volume of number 4 (CePaInHg)?
27.486 A^3/atom


Among the records above, which one has the highest total magnetization?
CePaInHg


Which value of volume does entry 4 give?
27.486 A^3/atom